## Y2GeTe4 (PBE-GGA)

Data for a geometry-optimized Y2GeTe4 structure.

Computed properties:
Final energy (eV per atom): -5.304
Formation energy without anion corrections (eV/atom): -1.00
Volume (Å³/atom): 33.5

Lattice parameters (Å, degrees): 15.9184 4.3471 7.6213 90.00 117.13 90.00
Space group C2/m (No. 12)
Symmetry-distinct sites (fractional):
Y: 0.2376 0.0000 0.2224 [4 per cell]
Ge: 0.0000 0.5000 0.5000 [2 per cell]
Te: 0.1170 0.5000 0.9433 [4 per cell]
Te: 0.1299 0.0000 0.4757 [4 per cell]

---

## Y5GeTe2 (PBE-GGA)

Data for a geometry-optimized Y5GeTe2 structure.

Computed properties:
Final energy (eV per atom): -6.108
Formation energy without anion corrections (eV/atom): -0.71
Volume (Å³/atom): 31.5

Lattice parameters (Å, degrees): 5.9386 12.2991 13.8187 90.00 90.00 90.00
Space group Cmcm (No. 63)
Symmetry-distinct sites (fractional):
Y: 0.0000 0.0540 0.1227 [8 per cell]
Y: 0.0000 0.3154 0.7500 [4 per cell]
Y: 0.0000 0.3811 0.0945 [8 per cell]
Ge: 0.0000 0.2313 0.2500 [4 per cell]
Te: 0.0000 0.1873 0.5597 [8 per cell]